No. 1
First-principles (GGA-PBE) data for a geometry-optimized TlP2 structure, as listed in Alexandria.

Lattice parameters (Å, degrees): 3.329 3.329 7.116 90.00 90.00 120.00
Atoms (fractional coordinates):
P (0.667, 0.333, 0.586)
P (0.333, 0.667, 0.414)
Tl (0.000, 0.000, 0.000)

**Relative energy among the computed polymorphs**: 12.9 meV/atom
**Space group**: P-3m1 (164)
**Formation energy from the elements**: 50 meV per atom
**Volume**: 68.3 Å³ per cell
**E**: -13.0 eV for the cell shown
**Total magnetization**: 0.00 μB/cell

=====

No. 2
First-principles (GGA-PBE) data for a geometry-optimized TlCuRe2 structure, as listed in Alexandria.

Lattice parameters (Å, degrees): 3.143 4.377 4.725 90.00 90.00 90.00
Atoms (fractional coordinates):
Cu (0.000, 0.500, 0.500)
Re (0.000, 0.000, 0.000)
Re (0.500, 0.500, 0.000)
Tl (0.500, 0.000, 0.500)

**Relative energy among the computed polymorphs**: 363.7 meV/atom
**Space group**: Pmmm (47)
**Formation energy from the elements**: 819 meV per atom
**Volume**: 65.0 Å³ per cell
**E**: -28.1 eV for the cell shown
**Total magnetization**: 0.00 μB/cell

=====

No. 3
First-principles (GGA-PBE) data for a geometry-optimized Tl2GaCoHg structure, as listed in Alexandria.

Lattice parameters (Å, degrees): 5.134 5.134 4.655 90.00 90.00 90.00
Atoms (fractional coordinates):
Tl (0.000, 0.500, 0.000)
Tl (0.500, 0.000, 0.000)
Co (0.000, 0.000, 0.000)
Hg (0.500, 0.500, 0.500)
Ga (0.000, 0.000, 0.500)

**Space group**: P4/mmm (123)
**Formation energy from the elements**: 67 meV per atom
**Volume**: 122.7 Å³ per cell
**E**: -14.8 eV for the cell shown
**Total magnetization**: 0.00 μB/cell